1.
Entry from the Alexandria database: an optimized crystal structure of PuSi2Ru (PBE-GGA).

Cell and atoms, written as POSCAR:
```
PuSi2Ru
1.0
2.034 1.174 4.940
-2.034 1.174 4.940
0.000 -2.348 4.940
Pu Si Ru
1 2 1
Direct
0.000 0.000 0.000 Pu
0.213 0.213 0.213 Si
0.787 0.787 0.787 Si
0.500 0.500 0.500 Ru
```

Output
Space group: R-3m
Raw total energy, eV per atom: -9.16
Volume, Å³/cell: 71
E_form (uncorrected), eV/atom: -0.55

=====

2.
Entry from the Alexandria database: an optimized crystal structure of GeRh3Pb (PBE-GGA).

Cell and atoms, written as POSCAR:
```
GeRh3Pb
1.0
4.601 0.000 0.000
0.000 4.601 0.000
0.000 0.000 4.601
Ge Rh Pb
1 3 1
Direct
0.000 0.000 0.000 Ge
0.000 0.000 0.500 Rh
0.000 0.500 0.000 Rh
0.500 0.000 0.000 Rh
0.500 0.500 0.500 Pb
```

Output
Space group: Pm-3m
Distance to the lowest polymorph of the same formula, meV/atom: 0
Raw total energy, eV per atom: -5.76
Formation enthalpy at 0 K, kJ/mol of formula units: 153
Volume, Å³/cell: 97

=====

3.
Entry from the Alexandria database: an optimized crystal structure of Fe4ReRu (PBE-GGA).

Cell and atoms, written as POSCAR:
```
Fe4ReRu
1.0
0.000 3.295 3.295
3.295 0.000 3.295
3.295 3.295 0.000
Fe Re Ru
4 1 1
Direct
0.125 0.125 0.125 Fe
0.125 0.125 0.626 Fe
0.125 0.626 0.125 Fe
0.626 0.125 0.125 Fe
0.500 0.500 0.500 Re
0.750 0.750 0.750 Ru
```

Output
Space group: F-43m
Raw total energy, eV per atom: -9.22
Formation enthalpy at 0 K, kJ/mol of formula units: 22
Volume, Å³/cell: 72

=====

4.
Entry from the Alexandria database: an optimized crystal structure of RbTaSiTe6 (PBE-GGA).

Cell and atoms, written as POSCAR:
```
RbTaSiTe6
1.0
6.717 0.000 0.000
-3.359 5.817 0.000
0.000 0.000 9.164
Rb Ta Si Te
1 1 1 6
Direct
0.000 0.000 0.000 Rb
0.333 0.667 0.500 Ta
0.667 0.333 0.500 Si
0.352 0.005 0.680 Te
0.352 0.347 0.320 Te
0.653 0.005 0.320 Te
0.653 0.648 0.680 Te
0.995 0.347 0.680 Te
0.995 0.648 0.320 Te
```

Output
Space group: P312
Raw total energy, eV per atom: -4.28
Volume, Å³/cell: 358
E_form (uncorrected), eV/atom: -0.16

=====

5.
Entry from the Alexandria database: an optimized crystal structure of LiTe2 (PBE-GGA).

Cell and atoms, written as POSCAR:
```
LiTe2
1.0
6.345 -2.188 0.000
6.345 2.188 0.000
-2.984 0.000 7.021
Li Te
2 4
Direct
0.000 0.000 0.000 Li
0.190 0.190 0.475 Li
0.051 0.051 0.682 Te
0.416 0.416 0.408 Te
0.601 0.601 0.232 Te
0.793 0.793 0.111 Te
```

Output
Space group: Cm
Distance to the lowest polymorph of the same formula, meV/atom: 34
Raw total energy, eV per atom: -3.16
Volume, Å³/cell: 195
E_form (uncorrected), eV/atom: -0.43

=====

6.
Entry from the Alexandria database: an optimized crystal structure of CoOsRh2 (PBE-GGA).

Cell and atoms, written as POSCAR:
```
CoOsRh2
1.0
2.692 0.000 0.000
0.000 3.780 0.000
0.000 0.000 5.295
Co Os Rh
1 1 2
Direct
0.000 0.000 0.000 Co
0.000 0.000 0.500 Os
0.500 0.500 0.247 Rh
0.500 0.500 0.753 Rh
```

Output
Space group: Pmmm
Distance to the lowest polymorph of the same formula, meV/atom: 1
Raw total energy, eV per atom: -8.18
Formation enthalpy at 0 K, kJ/mol of formula units: 31
Volume, Å³/cell: 54

=====

7.
Entry from the Alexandria database: an optimized crystal structure of AgP2S2 (PBE-GGA).

Cell and atoms, written as POSCAR:
```
AgP2S2
1.0
4.786 0.000 0.000
0.000 4.786 0.000
0.000 0.000 4.721
Ag P S
1 2 2
Direct
0.000 0.000 0.000 Ag
0.000 0.000 0.500 P
0.500 0.500 0.500 P
0.000 0.500 0.000 S
0.500 0.000 0.000 S
```

Output
Space group: P4/mmm
Distance to the lowest polymorph of the same formula, meV/atom: 678
Raw total energy, eV per atom: -3.04
Volume, Å³/cell: 108
E_form (uncorrected), eV/atom: 1.35

=====

8.
Entry from the Alexandria database: an optimized crystal structure of Li3CaCd3 (PBE-GGA).

Cell and atoms, written as POSCAR:
```
Li3CaCd3
1.0
7.207 0.000 0.000
0.000 7.207 0.000
0.000 0.000 7.207
Li Ca Cd
6 2 6
Direct
0.000 0.250 0.500 Li
0.000 0.750 0.500 Li
0.250 0.500 0.000 Li
0.500 0.000 0.250 Li
0.500 0.000 0.750 Li
0.750 0.500 0.000 Li
0.000 0.000 0.000 Ca
0.500 0.500 0.500 Ca
0.000 0.500 0.250 Cd
0.000 0.500 0.750 Cd
0.250 0.000 0.500 Cd
0.500 0.250 0.000 Cd
0.500 0.750 0.000 Cd
0.750 0.000 0.500 Cd
```

Output
Space group: Pm-3n
Distance to the lowest polymorph of the same formula, meV/atom: 281
Raw total energy, eV per atom: -1.39
Formation enthalpy at 0 K, kJ/mol of formula units: 75
Volume, Å³/cell: 374

=====

9.
Entry from the Alexandria database: an optimized crystal structure of MgAs2F8 (PBE-GGA).

Cell and atoms, written as POSCAR:
```
MgAs2F8
1.0
4.700 -3.836 0.000
4.700 3.836 0.000
-1.108 0.000 4.696
Mg As F
1 2 8
Direct
0.000 0.000 0.000 Mg
0.282 0.282 0.502 As
0.718 0.718 0.498 As
0.007 0.683 0.720 F
0.124 0.124 0.739 F
0.317 0.993 0.280 F
0.389 0.389 0.230 F
0.611 0.611 0.770 F
0.683 0.007 0.720 F
0.876 0.876 0.261 F
0.993 0.317 0.280 F
```

Output
Space group: C2/m
Distance to the lowest polymorph of the same formula, meV/atom: 29
Raw total energy, eV per atom: -4.76
Volume, Å³/cell: 169
E_form (uncorrected), eV/atom: -2.41

=====

10.
Entry from the Alexandria database: an optimized crystal structure of Pr4Te2OsCl (PBE-GGA).

Cell and atoms, written as POSCAR:
```
Pr4Te2OsCl
1.0
7.616 0.000 0.000
0.000 4.291 0.000
-2.325 0.000 7.451
Pr Te Os Cl
4 2 1 1
Direct
0.217 0.000 0.212 Pr
0.231 0.500 0.774 Pr
0.769 0.500 0.226 Pr
0.783 0.000 0.788 Pr
0.000 0.000 0.500 Te
0.500 0.500 0.500 Te
0.000 0.500 0.000 Os
0.500 0.000 0.000 Cl
```

Output
Space group: P2/m
Raw total energy, eV per atom: -5.87
Volume, Å³/cell: 244
E_form (uncorrected), eV/atom: -1.06

=====

11.
Entry from the Alexandria database: an optimized crystal structure of Tl2CO (PBE-GGA).

Cell and atoms, written as POSCAR:
```
Tl2CO
1.0
0.000 3.187 3.187
3.187 0.000 3.187
3.187 3.187 0.000
Tl C O
2 1 1
Direct
0.250 0.250 0.250 Tl
0.750 0.750 0.750 Tl
0.000 0.000 0.000 C
0.500 0.500 0.500 O
```

Output
Space group: Fm-3m
Distance to the lowest polymorph of the same formula, meV/atom: 742
Raw total energy, eV per atom: -3.47
Volume, Å³/cell: 65
E_form (uncorrected), eV/atom: 1.26

=====

12.
Entry from the Alexandria database: an optimized crystal structure of Pm3Sm3MgSe8 (PBE-GGA).

Cell and atoms, written as POSCAR:
```
Pm3Sm3MgSe8
1.0
4.158 2.401 6.804
-4.158 2.401 6.804
0.000 -4.801 6.804
Pm Sm Mg Se
3 3 1 8
Direct
0.000 0.500 0.500 Pm
0.500 0.000 0.500 Pm
0.500 0.500 0.000 Pm
0.000 0.000 0.500 Sm
0.000 0.500 0.000 Sm
0.500 0.000 0.000 Sm
0.500 0.500 0.500 Mg
0.249 0.249 0.249 Se
0.259 0.740 0.740 Se
0.260 0.260 0.741 Se
0.260 0.741 0.260 Se
0.740 0.259 0.740 Se
0.740 0.740 0.259 Se
0.741 0.260 0.260 Se
0.751 0.751 0.751 Se
```

Output
Space group: R-3m
Raw total energy, eV per atom: -5.65
Volume, Å³/cell: 407
E_form (uncorrected), eV/atom: -1.79